Entry from the Alexandria database: Ca2CrN2 at its PBEsol-relaxed geometry (SCAN).

Structure (POSCAR):
```
Ca2CrN2
1.0
5.3843 -2.4871 0.0000
5.3843 2.4871 0.0000
-3.1639 0.0000 5.6384
Ca Cr N
4 2 4
Direct
0.0323 0.0323 0.2749
0.3194 0.3194 0.8780
0.6806 0.6806 0.1220
0.9677 0.9677 0.7251
0.3681 0.3681 0.3681
0.6319 0.6319 0.6319
0.1940 0.1940 0.1300
0.4897 0.4897 0.7033
0.5103 0.5103 0.2967
0.8060 0.8060 0.8700
```

Spin magnetization = 0.0 Bohr magnetons per cell
Raw formation energy = -940.9 meV per atom
D(E_F) = 1.7 states/eV per cell
SG = C2/m


Entry from the Alexandria database: Ca3CrN3 at its PBEsol-relaxed geometry (SCAN).

Structure (POSCAR):
```
Ca3CrN3
1.0
4.1574 -5.0610 0.0000
4.1574 5.0610 0.0000
0.0000 0.0000 5.0012
Ca Cr N
6 2 6
Direct
0.1075 0.8925 0.7500
0.1703 0.4054 0.7500
0.4054 0.1703 0.2500
0.5946 0.8297 0.7500
0.8297 0.5946 0.2500
0.8925 0.1075 0.2500
0.3038 0.6962 0.2500
0.6962 0.3038 0.7500
0.1274 0.8726 0.2500
0.1817 0.4334 0.2500
0.4334 0.1817 0.7500
0.5666 0.8183 0.2500
0.8183 0.5666 0.7500
0.8726 0.1274 0.7500
```

Spin magnetization = 2.0 Bohr magnetons per cell
Raw formation energy = -1135.6 meV per atom
D(E_F) = 1.2 states/eV per cell
SG = Cmcm


Entry from the Alexandria database: CaCr3N at its PBEsol-relaxed geometry (SCAN).

Structure (POSCAR):
```
CaCr3N
1.0
3.9493 0.0000 0.0000
0.0000 3.9493 0.0000
0.0000 0.0000 3.9493
Ca Cr N
1 3 1
Direct
0.0000 0.0000 0.0000
0.0000 0.5000 0.5000
0.5000 0.0000 0.5000
0.5000 0.5000 0.0000
0.5000 0.5000 0.5000
```

Spin magnetization = 0.0 Bohr magnetons per cell
Raw formation energy = 440.1 meV per atom
D(E_F) = 4.3 states/eV per cell
SG = Pm-3m


Entry from the Alexandria database: Ca4CrN4 at its PBEsol-relaxed geometry (SCAN).

Structure (POSCAR):
```
Ca4CrN4
1.0
5.8200 0.0000 0.0000
2.1890 5.5519 0.0000
1.5659 2.2767 8.1832
Ca Cr N
8 2 8
Direct
0.2133 0.4313 0.3310
0.2245 0.9607 0.1185
0.2687 0.5148 0.9282
0.2690 0.7855 0.5262
0.7310 0.2145 0.4738
0.7313 0.4852 0.0718
0.7755 0.0393 0.8815
0.7867 0.5687 0.6690
0.2803 0.1545 0.7464
0.7197 0.8455 0.2536
0.0410 0.2859 0.8880
0.1052 0.1760 0.5875
0.4693 0.8464 0.8472
0.4721 0.3614 0.6970
0.5279 0.6386 0.3030
0.5307 0.1536 0.1528
0.8948 0.8240 0.4125
0.9590 0.7141 0.1120
```

Spin magnetization = 4.0 Bohr magnetons per cell
Raw formation energy = -1078.7 meV per atom
D(E_F) = 2.7 states/eV per cell
E above lowest polymorph = 15 meV per atom
SG = P-1


Q: The highest raw formation energy belongs to which entry?
A: CaCr3N


Q: The lowest D(E_F) belongs to which entry?
A: Ca3CrN3